The following is a PBE calculation of a relaxed structure of SbPt, from Alexandria via LeMat-Bulk. Values from VASP.

Computed properties:
total moment	0.0000	μB per atom
final energy	-5.510	eV per atom

Structure (Quantum ESPRESSO input):
```
&SYSTEM
  ibrav = 0, nat = 4, ntyp = 2
/
ATOMIC_SPECIES
Sb 121.76 Sb.upf
Pt 195.08 Pt.upf
CELL_PARAMETERS angstrom
4.223 0.000 0.000
-2.112 3.657 0.000
0.000 0.000 5.557
ATOMIC_POSITIONS crystal
Sb 0.333 0.667 0.250
Sb 0.667 0.333 0.750
Pt 0.000 0.000 0.000
Pt 0.000 0.000 0.500
```